The following is a GGA-PBE calculation of a relaxed Cs2Sr2NpS6 crystal, from the Alexandria database.

```
Cs2Sr2NpS6
1.0
3.699 -6.261 0.000
3.699 6.261 0.000
-2.544 0.000 8.153
Cs Sr Np S
2 2 1 6
Direct
0.174 0.826 0.000
0.826 0.174 0.000
0.335 0.665 0.500
0.665 0.335 0.500
0.000 0.000 0.500
0.061 0.352 0.680
0.223 0.223 0.319
0.352 0.061 0.680
0.648 0.939 0.320
0.777 0.777 0.681
0.939 0.648 0.320
```

Output
Raw formation energy   -1.51 eV/atom

***

The following is a GGA-PBE calculation of a relaxed KBaHgTe2 crystal, from the Alexandria database.

```
KBaHgTe2
1.0
8.325 0.000 0.000
0.000 5.310 0.000
-1.687 0.000 9.394
K Ba Hg Te
2 2 2 4
Direct
0.000 0.025 0.250
0.000 0.975 0.750
0.500 0.352 0.750
0.500 0.648 0.250
0.000 0.500 0.000
0.000 0.500 0.500
0.308 0.159 0.028
0.308 0.841 0.528
0.692 0.159 0.472
0.692 0.841 0.972
```

Output
Raw formation energy   -0.93 eV/atom

***

The following is a GGA-PBE calculation of a relaxed TmFeC crystal, from the Alexandria database.

```
TmFeC
1.0
5.380 0.000 0.000
0.000 3.217 0.000
-1.755 0.000 5.139
Tm Fe C
2 2 2
Direct
0.208 0.250 0.333
0.792 0.750 0.667
0.357 0.750 0.852
0.643 0.250 0.148
0.498 0.750 0.225
0.502 0.250 0.775
```

Output
ΔH_f (0 K)   -0.1846 eV/atom
E above lowest polymorph   0.0000 eV/atom

***

The following is a GGA-PBE calculation of a relaxed Zr3Br crystal, from the Alexandria database.

```
Zr3Br
1.0
6.179 0.000 0.000
-3.090 5.351 0.000
0.000 0.000 5.370
Zr Br
6 2
Direct
0.162 0.325 0.250
0.162 0.838 0.250
0.325 0.162 0.750
0.675 0.838 0.250
0.838 0.162 0.750
0.838 0.675 0.750
0.333 0.667 0.750
0.667 0.333 0.250
```

Output
Raw formation energy   0.22 eV/atom
E above lowest polymorph   0.4757 eV/atom

***

The following is a GGA-PBE calculation of a relaxed Ta2PdPt9 crystal, from the Alexandria database.

```
Ta2PdPt9
1.0
3.991 0.000 0.000
0.000 3.991 0.000
0.000 0.000 11.936
Ta Pd Pt
2 1 9
Direct
0.000 0.000 0.175
0.000 0.000 0.825
0.000 0.000 0.500
0.000 0.500 0.000
0.000 0.500 0.328
0.000 0.500 0.672
0.500 0.000 0.000
0.500 0.000 0.328
0.500 0.000 0.672
0.500 0.500 0.163
0.500 0.500 0.500
0.500 0.500 0.837
```

Output
ΔH_f (0 K)   -0.5358 eV/atom

***

The following is a GGA-PBE calculation of a relaxed Na5AsSe6 crystal, from the Alexandria database.

```
Na5AsSe6
1.0
3.551 -7.453 0.000
3.551 7.453 0.000
-3.464 0.000 5.547
Na As Se
5 1 6
Direct
0.000 0.000 0.000
0.169 0.831 0.500
0.315 0.685 0.000
0.685 0.315 0.000
0.831 0.169 0.500
0.500 0.500 0.500
0.112 0.418 0.271
0.335 0.335 0.799
0.418 0.112 0.271
0.582 0.888 0.729
0.665 0.665 0.201
0.888 0.582 0.729
```

Output
Raw formation energy   -0.60 eV/atom

***

The following is a GGA-PBE calculation of a relaxed TlSnGeAu3 crystal, from the Alexandria database.

```
TlSnGeAu3
1.0
3.464 -6.189 0.000
3.464 6.189 0.000
-0.897 0.000 6.867
Tl Sn Ge Au
2 2 2 6
Direct
0.246 0.754 0.750
0.754 0.246 0.250
0.040 0.960 0.250
0.960 0.040 0.750
0.478 0.522 0.250
0.522 0.478 0.750
0.173 0.359 0.491
0.265 0.735 0.250
0.359 0.173 0.991
0.641 0.827 0.009
0.735 0.265 0.750
0.827 0.641 0.509
```

Output
ΔH_f (0 K)   -0.0197 eV/atom

***

The following is a GGA-PBE calculation of a relaxed Dy6Pd12Au crystal, from the Alexandria database.

```
Dy6Pd12Au
1.0
5.381 3.107 3.745
-5.381 3.107 3.745
0.000 -6.213 3.745
Dy Pd Au
6 12 1
Direct
0.189 0.339 0.745
0.255 0.811 0.661
0.339 0.745 0.189
0.661 0.255 0.811
0.745 0.189 0.339
0.811 0.661 0.255
0.006 0.715 0.954
0.046 0.994 0.285
0.129 0.452 0.381
0.285 0.046 0.994
0.381 0.129 0.452
0.452 0.381 0.129
0.548 0.619 0.871
0.619 0.871 0.548
0.715 0.954 0.006
0.871 0.548 0.619
0.954 0.006 0.715
0.994 0.285 0.046
0.500 0.500 0.500
```

Output
ΔH_f (0 K)   -0.7434 eV/atom

***

The following is a GGA-PBE calculation of a relaxed Ac4P2AuSe crystal, from the Alexandria database.

```
Ac4P2AuSe
1.0
6.336 0.000 0.000
0.000 6.336 0.000
0.000 0.000 12.714
Ac P Au Se
8 4 2 2
Direct
0.000 0.000 0.240
0.000 0.000 0.760
0.000 0.500 0.007
0.000 0.500 0.493
0.500 0.000 0.507
0.500 0.000 0.993
0.500 0.500 0.260
0.500 0.500 0.740
0.000 0.000 0.000
0.000 0.500 0.250
0.500 0.000 0.750
0.500 0.500 0.500
0.000 0.000 0.500
0.500 0.500 0.000
0.000 0.500 0.750
0.500 0.000 0.250
```

Output
Raw formation energy   -1.36 eV/atom

***

The following is a GGA-PBE calculation of a relaxed Dy4Y5Ho3 crystal, from the Alexandria database.

```
Dy4Y5Ho3
1.0
8.043 -2.929 0.000
8.043 2.929 0.000
-4.118 0.000 8.272
Dy Y Ho
4 5 3
Direct
0.081 0.081 0.441
0.215 0.215 0.879
0.785 0.785 0.121
0.919 0.919 0.559
0.000 0.000 0.000
0.327 0.327 0.614
0.426 0.426 0.297
0.574 0.574 0.703
0.673 0.673 0.386
0.209 0.209 0.231
0.500 0.500 0.000
0.791 0.791 0.769
```

Output
ΔH_f (0 K)   0.2399 eV/atom
E above lowest polymorph   0.2179 eV/atom

***

The following is a GGA-PBE calculation of a relaxed AgAsOF2 crystal, from the Alexandria database.

```
AgAsOF2
1.0
4.290 0.000 0.000
0.000 4.290 0.000
0.000 0.000 3.969
Ag As O F
1 1 1 2
Direct
0.000 0.000 0.000
0.500 0.500 0.500
0.500 0.500 0.000
0.000 0.500 0.500
0.500 0.000 0.500
```

Output
Raw formation energy   -1.05 eV/atom
E above lowest polymorph   0.0000 eV/atom

***

Repeat the ninth record exactly.
The following is a GGA-PBE calculation of a relaxed Ac4P2AuSe crystal, from the Alexandria database.

```
Ac4P2AuSe
1.0
6.336 0.000 0.000
0.000 6.336 0.000
0.000 0.000 12.714
Ac P Au Se
8 4 2 2
Direct
0.000 0.000 0.240
0.000 0.000 0.760
0.000 0.500 0.007
0.000 0.500 0.493
0.500 0.000 0.507
0.500 0.000 0.993
0.500 0.500 0.260
0.500 0.500 0.740
0.000 0.000 0.000
0.000 0.500 0.250
0.500 0.000 0.750
0.500 0.500 0.500
0.000 0.000 0.500
0.500 0.500 0.000
0.000 0.500 0.750
0.500 0.000 0.250
```

Output
Raw formation energy   -1.36 eV/atom

***

Copy entry 8 word for word.
The following is a GGA-PBE calculation of a relaxed Dy6Pd12Au crystal, from the Alexandria database.

```
Dy6Pd12Au
1.0
5.381 3.107 3.745
-5.381 3.107 3.745
0.000 -6.213 3.745
Dy Pd Au
6 12 1
Direct
0.189 0.339 0.745
0.255 0.811 0.661
0.339 0.745 0.189
0.661 0.255 0.811
0.745 0.189 0.339
0.811 0.661 0.255
0.006 0.715 0.954
0.046 0.994 0.285
0.129 0.452 0.381
0.285 0.046 0.994
0.381 0.129 0.452
0.452 0.381 0.129
0.548 0.619 0.871
0.619 0.871 0.548
0.715 0.954 0.006
0.871 0.548 0.619
0.954 0.006 0.715
0.994 0.285 0.046
0.500 0.500 0.500
```

Output
ΔH_f (0 K)   -0.7434 eV/atom

***

What is the formula in the seventh record?
TlSnGeAu3